Record 1
Below is a relaxed structure of K2MgVO4, with properties calculated at the GGA+U level.

* E: -5.90 eV/atom
* size of the total moment: 1.00 μB per formula unit

Cell: 6.087 6.490 6.755 Å, 90.00 90.00 90.00°
Each line ends with the local moment (μB).
Element x y z (fractional)
O1 0.745 0.981 0.500  0.00
O2 0.256 0.982 0.500  0.00
O3 0.756 0.018 0.000  0.00
O4 0.000 0.317 0.240  -0.01
O5 0.500 0.683 0.740  -0.01
O6 0.500 0.683 0.260  -0.01
O7 0.000 0.317 0.760  -0.01
O8 0.245 0.019 0.000  0.00
Mg1 0.000 0.166 0.500  0.00
Mg2 0.500 0.834 0.000  0.00
K1 0.000 0.729 0.753  0.00
K2 0.500 0.271 0.253  0.00
K3 0.000 0.729 0.247  0.00
K4 0.500 0.271 0.747  0.00
V1 0.500 0.820 0.500  0.97
V2 0.000 0.180 0.000  0.97

---

Record 2
Below is a relaxed structure of K4MgV6O16, with properties calculated at the GGA+U level.

* size of the total moment: 4.00 μB per formula unit
* polymorph energy (0 for the lowest one): 0.0 meV/atom

Cell: 5.508 8.968 9.007 Å, 94.05 88.64 89.63°
Each line ends with the local moment (μB).
Element x y z (fractional)
O1 0.486 0.911 0.817  -0.03
O2 0.402 0.303 0.386  -0.04
O3 0.026 0.394 0.876  -0.01
O4 0.444 0.219 0.918  -0.03
O5 0.701 0.755 0.149  0.00
O6 0.018 0.499 0.524  -0.10
O7 0.526 0.056 0.180  -0.02
O8 0.061 0.872 0.656  -0.01
O9 0.460 0.682 0.580  -0.01
O10 0.211 0.813 0.091  -0.01
O11 0.046 0.043 0.333  -0.04
O12 0.013 0.070 0.998  -0.03
O13 0.339 0.593 0.296  -0.01
O14 0.457 0.536 0.982  0.00
O15 0.430 0.405 0.678  -0.01
O16 0.473 0.992 0.510  -0.01
V1 0.329 0.385 0.860  0.10
V2 0.343 0.106 0.355  1.03
V3 0.417 0.678 0.135  0.06
V4 0.316 0.490 0.494  1.02
V5 0.364 0.865 0.641  0.12
V6 0.335 0.022 0.995  1.83
K1 0.822 0.656 0.807  0.00
K2 0.821 0.146 0.716  0.00
K3 0.869 0.749 0.417  0.00
K4 0.786 0.320 0.139  0.00
Mg1 0.869 0.956 0.152  0.01

---

Record 3
Below is a relaxed structure of K4MgV6O16, with properties calculated at the GGA+U level.

* size of the total moment: 4.00 μB per formula unit
* polymorph energy (0 for the lowest one): 18.3 meV/atom

Cell: 5.498 8.984 9.114 Å, 86.09 88.91 84.38°
Each line ends with the local moment (μB).
Element x y z (fractional)
O1 0.514 0.686 0.399  0.00
O2 0.507 0.986 0.499  -0.02
O3 0.537 0.317 0.588  -0.01
O4 0.560 0.520 0.998  0.00
O5 0.938 0.669 0.848  0.00
O6 0.448 0.107 0.837  -0.01
O7 0.629 0.203 0.083  -0.01
O8 0.543 0.595 0.690  -0.01
O9 0.611 0.407 0.305  -0.01
O10 0.014 0.382 0.114  -0.01
O11 0.471 0.935 0.181  -0.01
O12 0.965 0.054 0.668  -0.02
O13 0.961 0.489 0.511  -0.08
O14 0.926 0.954 0.992  -0.07
O15 0.905 0.859 0.337  -0.01
O16 0.467 0.828 0.898  -0.01
K1 0.199 0.228 0.376  0.00
K2 0.209 0.385 0.810  0.00
K3 0.174 0.689 0.148  0.00
K4 0.123 0.757 0.576  0.00
Mg1 0.168 0.981 0.833  0.00
V1 0.636 0.657 0.854  0.03
V2 0.639 0.111 0.643  1.81
V3 0.656 0.490 0.500  1.03
V4 0.711 0.375 0.128  0.06
V5 0.603 0.868 0.354  0.10
V6 0.621 0.010 0.001  1.04

---

Record 4
Below is a relaxed structure of K2MgW3O12, with properties calculated at the GGA+U level.

* E: -6.60 eV/atom
* size of the total moment: 2.09 μB per formula unit
* Fermi-level density of states: 10.9 states/eV per cell

Cell: 7.353 7.353 7.353 Å, 60.92 60.92 60.92°
Each line ends with the local moment (μB).
Element x y z (fractional)
W1 0.500 0.000 0.000  -0.08
W2 0.000 0.500 0.000  -0.08
W3 0.000 0.000 0.500  -0.08
Mg1 0.000 0.000 0.000  0.00
O1 0.936 0.307 0.307  0.10
O2 0.307 0.936 0.307  0.10
O3 0.927 0.336 0.927  0.23
O4 0.307 0.307 0.936  0.10
O5 0.664 0.073 0.073  0.23
O6 0.336 0.927 0.927  0.23
O7 0.073 0.073 0.664  0.23
O8 0.927 0.927 0.336  0.23
O9 0.693 0.693 0.064  0.10
O10 0.064 0.693 0.693  0.10
O11 0.693 0.064 0.693  0.10
O12 0.073 0.664 0.073  0.23
K1 0.645 0.645 0.645  0.00
K2 0.355 0.355 0.355  0.00

---

Record 5
Below is a relaxed structure of K3Mg2WO6, with properties calculated at the GGA+U level.

* E: -5.69 eV/atom
* size of the total moment: 1.00 μB per formula unit
* Fermi-level density of states: 0.0 states/eV per cell

Cell: 5.569 5.569 6.357 Å, 98.21 98.21 120.90°
Each line ends with the local moment (μB).
Element x y z (fractional)
O1 0.750 0.750 0.175  -0.01
O2 0.378 0.060 0.177  0.02
O3 0.622 0.940 0.823  0.02
O4 0.940 0.622 0.823  0.02
O5 0.060 0.378 0.177  0.02
O6 0.250 0.250 0.825  -0.01
Mg1 0.671 0.329 0.000  0.00
Mg2 0.329 0.671 0.000  0.00
K1 0.172 0.828 0.500  0.00
K2 0.828 0.172 0.500  0.00
K3 0.500 0.500 0.500  0.00
W1 0.000 0.000 0.000  0.95